# 1
PBE-GGA Lu2ZrZn, relaxed; electronic total energy = -19.53 eV/cell; E above lowest polymorph = 0.0 meV per atom; M_tot = 0.0000 μB per atom
1.0
3.3674 0.0000 0.0000
0.0000 3.3674 0.0000
0.0000 0.0000 8.3435
Lu Zr Zn
2 1 1
Direct
0.0000 0.0000 0.2263 Lu
0.0000 0.0000 0.7737 Lu
0.5000 0.5000 0.5000 Zr
0.5000 0.5000 0.0000 Zn


# 2
PBE-GGA LuZrZn4, relaxed; electronic total energy = -19.75 eV/cell; M_tot = 0.2199 μB per atom
1.0
0.0000 3.7552 3.7552
3.7552 0.0000 3.7552
3.7552 3.7552 0.0000
Lu Zr Zn
1 1 4
Direct
0.0000 0.0000 0.0000 Lu
0.7500 0.7500 0.7500 Zr
0.3756 0.3756 0.3756 Zn
0.3756 0.3756 0.8732 Zn
0.3756 0.8732 0.3756 Zn
0.8732 0.3756 0.3756 Zn


# 3
PBE-GGA LuZrZn, relaxed; electronic total energy = -14.90 eV/cell; M_tot = 0.0001 μB per atom
1.0
-1.6608 1.6608 5.9756
1.6608 -1.6608 5.9756
1.6608 1.6608 -5.9756
Lu Zr Zn
1 1 1
Direct
0.0000 0.0000 0.0000 Lu
0.3124 0.3124 0.0000 Zr
0.6649 0.6649 0.0000 Zn


# 4
PBE-GGA LuZrZn2, relaxed; electronic total energy = -16.77 eV/cell; M_tot = 0.0000 μB per atom
1.0
3.3960 0.0000 0.0000
0.0000 3.3960 0.0000
0.0000 0.0000 6.8870
Lu Zr Zn
1 1 2
Direct
0.0000 0.0000 0.0000 Lu
0.0000 0.0000 0.5000 Zr
0.5000 0.5000 0.2606 Zn
0.5000 0.5000 0.7394 Zn


# 5
PBE-GGA Lu2ZrZn, relaxed; electronic total energy = -18.93 eV/cell; E above lowest polymorph = 150.0 meV per atom; M_tot = 0.0000 μB per atom
1.0
4.5638 0.0000 0.0000
0.0000 4.5638 0.0000
0.0000 0.0000 4.4620
Lu Zr Zn
2 1 1
Direct
0.0000 0.5000 0.0000 Lu
0.5000 0.0000 0.0000 Lu
0.0000 0.0000 0.5000 Zr
0.5000 0.5000 0.5000 Zn


# 6
PBE-GGA LuZr3, relaxed; electronic total energy = -29.55 eV/cell; E above lowest polymorph = 150.1 meV per atom; M_tot = 0.0006 μB per atom
1.0
0.0000 3.6389 3.6389
3.6389 0.0000 3.6389
3.6389 3.6389 0.0000
Lu Zr
1 3
Direct
0.0000 0.0000 0.0000 Lu
0.2500 0.2500 0.2500 Zr
0.5000 0.5000 0.5000 Zr
0.7500 0.7500 0.7500 Zr


# 7
PBE-GGA LuZr3, relaxed; electronic total energy = -29.88 eV/cell; E above lowest polymorph = 67.4 meV per atom; M_tot = 0.0001 μB per atom
1.0
-2.3027 2.3027 4.5787
2.3027 -2.3027 4.5787
2.3027 2.3027 -4.5787
Lu Zr
1 3
Direct
0.0000 0.0000 0.0000 Lu
0.2500 0.7500 0.5000 Zr
0.5000 0.5000 0.0000 Zr
0.7500 0.2500 0.5000 Zr


# 8
PBE-GGA LuZr3, relaxed; electronic total energy = -30.09 eV/cell; E above lowest polymorph = 15.2 meV per atom; M_tot = 0.0000 μB per atom
1.0
-1.6445 5.2107 2.8598
1.6445 -5.2107 2.8598
1.6445 5.2107 -2.8598
Lu Zr
1 3
Direct
0.0000 0.0000 0.0000 Lu
0.4188 0.6667 0.7521 Zr
0.4982 0.9982 0.5000 Zr
0.9146 0.6667 0.2479 Zr


no.,ρ (g cm⁻³)
1,8.89
2,8.28
3,8.35
4,8.30
5,9.05
6,7.73
7,7.67
8,7.60